(1)
# Ti5Nb5V2

A relaxed Ti5Nb5V2 crystal (PBE, Alexandria).

The size of the total moment comes out at 0.00 μB per atom. Its total energy is -0.3288 Ha/atom. The formation energy comes out at 58 meV/atom.

Lattice parameters (Å, degrees): 6.8967 6.8967 10.4932 116.94 116.94 27.50
Last column: nearest neighbours and their distance in Å.
Fractional positions:
Ti 0.0000 0.0000 0.0000  4 Nb 2.78, 4 V 2.83
Ti 0.0705 0.0705 0.7510  2 V 2.76, 6 Nb 2.86-2.93, 1 Ti 2.91
Ti 0.1599 0.1599 0.4816  2 V 2.73, 4 Nb 2.78-2.93, 3 Ti 2.79-2.91
Ti 0.8401 0.8401 0.5184  2 V 2.73, 4 Nb 2.78-2.93, 3 Ti 2.79-2.91
Ti 0.9295 0.9295 0.2490  2 V 2.76, 6 Nb 2.86-2.93, 1 Ti 2.91
Nb 0.2518 0.2518 0.2572  2 V 2.63, 2 Nb 2.87, 4 Ti 2.93
Nb 0.3306 0.3306 0.9959  4 Nb 2.75-2.87, 4 Ti 2.78-2.87
Nb 0.5000 0.5000 0.5000  8 Ti 2.78-2.86, 2 Nb 3.11
Nb 0.6694 0.6694 0.0041  4 Nb 2.75-2.87, 4 Ti 2.78-2.87
Nb 0.7482 0.7482 0.7428  2 V 2.63, 2 Nb 2.87, 4 Ti 2.93
V 0.4051 0.4051 0.7514  2 Nb 2.63, 6 Ti 2.73-2.83
V 0.5949 0.5949 0.2486  2 Nb 2.63, 6 Ti 2.73-2.83

***

(2)
# SmSc4Ge4

A relaxed SmSc4Ge4 crystal (PBE, Alexandria).

The size of the total moment comes out at 0.00 μB per atom. Its total energy is -0.2199 Ha/atom. The formation energy comes out at -594 meV/atom.

Lattice parameters (Å, degrees): 8.9252 8.9252 5.4360 90.00 90.00 90.00
Last column: nearest neighbours and their distance in Å.
Fractional positions:
Sm 0.2500 0.2500 0.2500  4 Ge 3.10
Sm 0.7500 0.7500 0.7500  4 Ge 3.10
Sc 0.1065 0.6363 0.1368  5 Ge 2.71-2.85
Sc 0.1363 0.8935 0.6368  5 Ge 2.71-2.85
Sc 0.3637 0.6065 0.6368  5 Ge 2.71-2.85
Sc 0.3935 0.8637 0.1368  5 Ge 2.71-2.85
Sc 0.6065 0.1363 0.8632  5 Ge 2.71-2.85
Sc 0.6363 0.3935 0.3632  5 Ge 2.71-2.85
Sc 0.8637 0.1065 0.3632  5 Ge 2.71-2.85
Sc 0.8935 0.3637 0.8632  5 Ge 2.71-2.85
Ge 0.0549 0.5944 0.6504  1 Ge 2.54, 4 Sc 2.71-2.77
Ge 0.0944 0.9451 0.1504  1 Ge 2.54, 4 Sc 2.71-2.77
Ge 0.4056 0.5549 0.1504  1 Ge 2.54, 4 Sc 2.71-2.77
Ge 0.4451 0.9056 0.6504  1 Ge 2.54, 4 Sc 2.71-2.77
Ge 0.5549 0.0944 0.3496  1 Ge 2.54, 4 Sc 2.71-2.77
Ge 0.5944 0.4451 0.8496  1 Ge 2.54, 4 Sc 2.71-2.77
Ge 0.9056 0.0549 0.8496  1 Ge 2.54, 4 Sc 2.71-2.77
Ge 0.9451 0.4056 0.3496  1 Ge 2.54, 4 Sc 2.71-2.77

***

(3)
# K2LiTlBr6

A relaxed K2LiTlBr6 crystal (PBE, Alexandria).

The raw formation energy comes out at -1189.0 meV/atom. The calculation puts the excess energy over the best structure of this formula in the dataset at 0 meV/atom. The size of the total moment comes out at 0.00 μB per atom. Its total energy is -0.1044 Ha/atom.

Lattice parameters (Å, degrees): 7.5659 7.8602 13.0782 90.00 124.83 90.00
Last column: nearest neighbours and their distance in Å.
Fractional positions:
K 0.2255 0.0747 0.2485  8 Br 3.34-3.73
K 0.2255 0.4253 0.7485  8 Br 3.34-3.73
K 0.7745 0.5747 0.2515  8 Br 3.34-3.73
K 0.7745 0.9253 0.7515  8 Br 3.34-3.73
Li 0.0000 0.0000 0.5000  6 Br 2.74-2.85
Li 0.0000 0.5000 0.0000  6 Br 2.74-2.85
Tl 0.5000 0.0000 0.0000  6 Br 2.80-2.83
Tl 0.5000 0.5000 0.5000  6 Br 2.80-2.83
Br 0.1532 0.1992 0.9533  1 Tl 2.81, 1 Li 2.85
Br 0.1532 0.3008 0.4533  1 Tl 2.81, 1 Li 2.85
Br 0.2588 0.7010 0.9571  1 Li 2.81, 1 Tl 2.83
Br 0.2588 0.7990 0.4571  1 Li 2.81, 1 Tl 2.83
Br 0.3385 0.0138 0.7466  1 Li 2.74, 1 Tl 2.80
Br 0.3385 0.4862 0.2466  1 Li 2.74, 1 Tl 2.80
Br 0.6615 0.5138 0.7534  1 Li 2.74, 1 Tl 2.80
Br 0.6615 0.9862 0.2534  1 Li 2.74, 1 Tl 2.80
Br 0.7412 0.2010 0.5429  1 Li 2.81, 1 Tl 2.83
Br 0.7412 0.2990 0.0429  1 Li 2.81, 1 Tl 2.83
Br 0.8468 0.6992 0.5467  1 Tl 2.81, 1 Li 2.85
Br 0.8468 0.8008 0.0467  1 Tl 2.81, 1 Li 2.85

***

(4)
# Co2HPtW

A relaxed Co2HPtW crystal (PBE, Alexandria).

The calculation puts the excess energy over the best structure of this formula in the dataset at 0 meV/atom. The size of the total moment comes out at 0.34 μB per atom. Its total energy is -0.2674 Ha/atom.

Lattice parameters (Å, degrees): 3.7926 3.7926 3.8108 90.00 90.00 90.00
Last column: nearest neighbours and their distance in Å.
Fractional positions:
Co 0.0000 0.5000 0.0000  2 H 1.90
Co 0.5000 0.0000 0.0000  2 H 1.90
H 0.0000 0.0000 0.0000  4 Co 1.90, 2 W 1.91
Pt 0.5000 0.5000 0.5000  4 W 2.68, 8 Co 2.69
W 0.0000 0.0000 0.5000  2 H 1.91

***

(5)
# Pu2PaGa

A relaxed Pu2PaGa crystal (PBE, Alexandria).

The calculation puts the excess energy over the best structure of this formula in the dataset at 59 meV/atom. The size of the total moment comes out at 2.80 μB per atom. Its total energy is -0.3811 Ha/atom. The formation energy comes out at -74 meV/atom.

Lattice parameters (Å, degrees): 3.8067 3.8067 6.3041 90.00 90.00 90.00
Last column: nearest neighbours and their distance in Å.
Fractional positions:
Pu 0.0000 0.0000 0.2328  1 Pu 2.94, 4 Ga 3.07, 4 Pa 3.18
Pu 0.0000 0.0000 0.7672  1 Pu 2.94, 4 Ga 3.07, 4 Pa 3.18
Pa 0.5000 0.5000 0.5000  2 Ga 3.15, 8 Pu 3.18
Ga 0.5000 0.5000 0.0000  8 Pu 3.07, 2 Pa 3.15

***

(6)
# CsLaInS3

A relaxed CsLaInS3 crystal (PBE, Alexandria).

The raw formation energy comes out at -1308.3 meV/atom. The size of the total moment comes out at 0.00 μB per atom. Its total energy is -0.1761 Ha/atom.

Lattice parameters (Å, degrees): 9.2091 4.6978 10.2494 90.00 107.65 90.00
Last column: nearest neighbours and their distance in Å.
Fractional positions:
Cs 0.2114 0.2500 0.2329  7 S 3.67-3.99, 1 In 4.07
Cs 0.7886 0.7500 0.7671  7 S 3.67-3.99, 1 In 4.07
La 0.3346 0.7500 0.8597  6 S 2.79-3.07
La 0.6654 0.2500 0.1403  6 S 2.79-3.07
In 0.1123 0.2500 0.5942  4 S 2.56-2.86
In 0.8877 0.7500 0.4058  4 S 2.56-2.86
S 0.1243 0.2500 0.8470  1 In 2.56
S 0.2074 0.7500 0.5464  3 In 2.60-2.86
S 0.4722 0.7500 0.1425  3 La 2.79-2.95
S 0.5278 0.2500 0.8575  3 La 2.79-2.95
S 0.7926 0.2500 0.4536  3 In 2.60-2.86
S 0.8757 0.7500 0.1530  1 In 2.56